A plane-wave DFT calculation with PBE was carried out for a geometry-optimized Ca3Al structure.

space group: No. 86
total energy: -2.54 eV/atom

The structure in CIF format:
```
data_Ca3Al
_chemical_formula_sum 'Ca24 Al8'
_cell_length_a 13.037
_cell_length_b 13.037
_cell_length_c 6.465
_cell_angle_alpha 90.00
_cell_angle_beta 90.00
_cell_angle_gamma 90.00
_space_group_name_H-M_alt 'P 1'
_space_group_IT_number 1
loop_
_space_group_symop_operation_xyz
'x,y,z'
loop_
_atom_site_label
_atom_site_type_symbol
_atom_site_fract_x
_atom_site_fract_y
_atom_site_fract_z
Ca1 Ca 0.028 0.579 0.234
Ca2 Ca 0.079 0.972 0.734
Ca3 Ca 0.116 0.214 0.023
Ca4 Ca 0.135 0.667 0.730
Ca5 Ca 0.167 0.865 0.230
Ca6 Ca 0.214 0.384 0.477
Ca7 Ca 0.286 0.116 0.477
Ca8 Ca 0.333 0.635 0.230
Ca9 Ca 0.365 0.833 0.730
Ca10 Ca 0.384 0.286 0.023
Ca11 Ca 0.421 0.528 0.734
Ca12 Ca 0.472 0.921 0.234
Ca13 Ca 0.528 0.079 0.766
Ca14 Ca 0.579 0.472 0.266
Ca15 Ca 0.616 0.714 0.977
Ca16 Ca 0.635 0.167 0.270
Ca17 Ca 0.667 0.365 0.770
Ca18 Ca 0.714 0.884 0.523
Ca19 Ca 0.786 0.616 0.523
Ca20 Ca 0.833 0.135 0.770
Ca21 Ca 0.865 0.333 0.270
Ca22 Ca 0.884 0.786 0.977
Ca23 Ca 0.921 0.028 0.266
Ca24 Ca 0.972 0.421 0.766
Al1 Al 0.042 0.203 0.526
Al2 Al 0.203 0.458 0.974
Al3 Al 0.297 0.042 0.974
Al4 Al 0.458 0.297 0.526
Al5 Al 0.542 0.703 0.474
Al6 Al 0.703 0.958 0.026
Al7 Al 0.797 0.542 0.026
Al8 Al 0.958 0.797 0.474
```